1.
Entry from Alexandria: crystalline CuBiO2 at its relaxed geometry (GGA-PBEsol).

Computed properties:
SG: No. 11

Lattice parameters (Å, degrees): 3.5767 6.0187 6.5351 116.85 90.00 90.00
Closest atoms and distances in Å follow each position.
Fractional coordinates of all 8 atoms:
Cu (0.2500, 0.0317, 0.6627)  2 O 1.81-1.82
Cu (0.7500, 0.9683, 0.3373)  2 O 1.81-1.82
Bi (0.2500, 0.4140, 0.2258)  5 O 2.20-2.45
Bi (0.7500, 0.5860, 0.7742)  5 O 2.20-2.45
O (0.7500, 0.6299, 0.1932)  1 Cu 1.82
O (0.7500, 0.2980, 0.4151)  1 Cu 1.81
O (0.2500, 0.7020, 0.5849)  1 Cu 1.81
O (0.2500, 0.3701, 0.8068)  1 Cu 1.82


2.
Entry from Alexandria: crystalline Cu2BiPO6 at its relaxed geometry (GGA-PBEsol).

Computed properties:
SG: No. 62
N(E_F) (states/eV/cell): 3.34

Lattice parameters (Å, degrees): 5.1240 7.8226 11.7987 90.00 90.00 90.00
Closest atoms and distances in Å follow each position.
Fractional coordinates of all 40 atoms:
Cu (0.2500, 0.6834, 0.0690)  4 O 1.90-1.99
Cu (0.7500, 0.1834, 0.4310)  4 O 1.90-1.99
Cu (0.7500, 0.3166, 0.9310)  4 O 1.90-1.99
Cu (0.7500, 0.6864, 0.9109)  4 O 1.91-2.04
Cu (0.2500, 0.8166, 0.5690)  4 O 1.90-1.99
Cu (0.7500, 0.8136, 0.4109)  4 O 1.91-2.04
Cu (0.2500, 0.1864, 0.5891)  4 O 1.91-2.04
Cu (0.2500, 0.3136, 0.0891)  4 O 1.91-2.04
O (0.9968, 0.8208, 0.9937)  2 Cu 1.90-1.91
O (0.0032, 0.1792, 0.0063)  2 Cu 1.90-1.91
O (0.0032, 0.3208, 0.5063)  2 Cu 1.90-1.91
O (0.5032, 0.6792, 0.4937)  2 Cu 1.90-1.91
O (0.4985, 0.9913, 0.6261)  1 P 1.57
O (0.0015, 0.9913, 0.6261)  1 P 1.57
O (0.2500, 0.2680, 0.7669)  1 P 1.54
O (0.5015, 0.0087, 0.3739)  1 P 1.57
O (0.9985, 0.4913, 0.8739)  1 P 1.57
O (0.7500, 0.4282, 0.3042)  1 P 1.53
O (0.4985, 0.5087, 0.1261)  1 P 1.57
O (0.7500, 0.7320, 0.2331)  1 P 1.54
O (0.2500, 0.2320, 0.2669)  1 P 1.54
O (0.4968, 0.3208, 0.5063)  2 Cu 1.90-1.91
O (0.7500, 0.0718, 0.8042)  1 P 1.53
O (0.2500, 0.5718, 0.6958)  1 P 1.53
O (0.0015, 0.5087, 0.1261)  1 P 1.57
O (0.4968, 0.1792, 0.0063)  2 Cu 1.90-1.91
O (0.9985, 0.0087, 0.3739)  1 P 1.57
O (0.9968, 0.6792, 0.4937)  2 Cu 1.90-1.91
O (0.5032, 0.8208, 0.9937)  2 Cu 1.90-1.91
O (0.2500, 0.9282, 0.1958)  1 P 1.53
O (0.5015, 0.4913, 0.8739)  1 P 1.57
O (0.7500, 0.7680, 0.7331)  1 P 1.54
P (0.2500, 0.0420, 0.3013)  4 O 1.53-1.57
P (0.2500, 0.4580, 0.8013)  4 O 1.53-1.57
P (0.7500, 0.9580, 0.6987)  4 O 1.53-1.57
P (0.7500, 0.5420, 0.1987)  4 O 1.53-1.57
Bi (0.2500, 0.4765, 0.3881)  5 O 2.24-2.40
Bi (0.7500, 0.9765, 0.1119)  5 O 2.24-2.40
Bi (0.7500, 0.5235, 0.6119)  5 O 2.24-2.40
Bi (0.2500, 0.0235, 0.8881)  5 O 2.24-2.40


no.,total moment (μB/cell),raw total energy (eV per atom),formation energy (no corrections) (eV/atom)
1,0.0,-5.679,-0.899
2,0.1,-6.379,-1.355